LiYPb3 at its PBEsol-relaxed geometry. Source: Alexandria via LeMat-Bulk, functional meta-GGA SCAN.

```
5
Lattice="5.810 0.000 0.000 0.000 5.810 0.000 0.000 0.000 5.810" Properties=species:S:1:pos:R:3 pbc="T T T"
Pb 0.000 2.905 0.000
Pb 0.000 0.000 2.905
Pb 2.905 0.000 0.000
Y 0.000 0.000 0.000
Li 2.905 2.905 2.905
```

Space group: Pm-3m (221)
V (A^3/atom): 39.231
DFT total energy (eV/atom): -51.3275


LiYPb2 at its PBEsol-relaxed geometry. Source: Alexandria via LeMat-Bulk, functional meta-GGA SCAN.

```
4
Lattice="-0.190 1.704 2.889 -4.133 -1.143 0.403 1.888 -5.614 3.436" Properties=species:S:1:pos:R:3 pbc="T T T"
Pb 1.381 -4.108 2.514
Pb 0.506 -1.506 0.922
Y -2.161 0.281 1.646
Li -1.217 -2.526 3.364
```

Space group: Pmmm (47)
V (A^3/atom): 24.766
DFT total energy (eV/atom): -45.9985


LiYPb2 at its PBEsol-relaxed geometry. Source: Alexandria via LeMat-Bulk, functional meta-GGA SCAN.

```
4
Lattice="4.750 0.000 0.000 0.000 4.750 0.000 -2.375 -2.375 4.439" Properties=species:S:1:pos:R:3 pbc="T T T"
Pb 2.375 0.000 2.219
Pb 0.000 2.375 2.219
Y 2.375 2.375 0.000
Li 0.000 0.000 0.000
```

Space group: I4/mmm (139)
V (A^3/atom): 25.038
DFT total energy (eV/atom): -45.9986